# 1
DFT (GGA-PBE) results for a geometry-optimized TbSc2TaN4 structure.

The structure in extended XYZ format:
```
8
Lattice="-1.426 -1.634 2.393 5.037 -1.923 1.688 -1.105 4.805 2.623" Properties=species:S:1:pos:R:3 pbc="T T T"
N 3.611 -0.265 1.971
N 0.322 3.146 2.340
N 0.191 -0.080 2.238
N 2.316 1.327 4.466
Tb 1.806 -1.779 2.040
Sc 1.966 1.441 2.155
Sc -1.265 1.585 2.508
Ta 0.000 0.000 0.000
```

Results
**ΔE_f (raw)**: -1.623 eV/atom
**Symmetry**: P2/m


# 2
DFT (GGA-PBE) results for a geometry-optimized Li2PrEr structure.

The structure in extended XYZ format:
```
4
Lattice="-1.982 -1.985 2.481 1.224 -3.175 -1.563 5.945 -0.034 4.721" Properties=species:S:1:pos:R:3 pbc="T T T"
Pr 2.593 -2.597 2.819
Er -0.379 -2.580 0.459
Li 4.507 -0.026 3.580
Li 1.438 -0.008 1.142
```

Results
**Symmetry**: P4/mmm
**Energy relative to the elements**: 58 kJ/mol of formula units
**Energy relative to the lowest polymorph listed for this composition**: 0.0 meV/atom


# 3
DFT (GGA-PBE) results for a geometry-optimized MnTeP2 structure.

The structure in extended XYZ format:
```
4
Lattice="-0.791 3.029 0.765 -0.419 -1.126 4.025 7.391 1.955 -0.102" Properties=species:S:1:pos:R:3 pbc="T T T"
Mn 5.608 2.401 3.078
P 6.702 3.159 1.210
P 0.246 -0.925 3.918
Te 4.083 0.469 2.367
```

Results
**ΔE_f (raw)**: 0.003 eV/atom
**Symmetry**: Pm


# 4
DFT (GGA-PBE) results for a geometry-optimized LiDyHgF6 structure.

The structure in extended XYZ format:
```
18
Lattice="-1.905 3.404 -3.313 -1.012 -3.778 -3.300 -9.413 -1.163 4.217" Properties=species:S:1:pos:R:3 pbc="T T T"
F -9.701 1.002 0.261
F -6.319 1.333 -1.249
F -2.733 -2.649 -2.605
F -3.298 1.890 -2.613
F -5.299 -0.665 -3.148
F -4.149 -0.517 -0.539
F -11.376 -1.416 -0.519
F -9.160 -3.347 0.269
F -7.185 -0.892 0.717
F -5.799 -2.845 -1.241
F -8.259 -1.030 -1.717
F -10.156 -1.259 2.246
Hg -3.024 -0.381 -2.605
Hg -6.273 -0.775 2.810
Li -9.373 -1.158 4.199
Li -6.124 -0.764 -1.216
Dy -9.324 -1.159 0.218
Dy -3.160 -0.390 1.415
```

Results
**ΔE_f (raw)**: -2.922 eV/atom
**Symmetry**: P4_2nm


# 5
DFT (GGA-PBE) results for a geometry-optimized ZrMn2Cu structure.

The structure in extended XYZ format:
```
4
Lattice="-2.054 -0.424 2.230 -2.214 -0.291 -2.094 1.098 -6.597 -0.243" Properties=species:S:1:pos:R:3 pbc="T T T"
Mn 0.589 -3.537 -0.130
Mn 1.058 -6.359 -0.235
Cu -1.310 -5.306 -0.115
Zr -1.859 -2.007 0.007
```

Results
**Symmetry**: P4/mmm
**Energy relative to the elements**: 60 kJ/mol of formula units


# 6
DFT (GGA-PBE) results for a geometry-optimized LaSmTm14 structure.

The structure in extended XYZ format:
```
16
Lattice="-3.323 -6.090 1.311 6.320 1.247 2.890 -5.053 4.698 9.021" Properties=species:S:1:pos:R:3 pbc="T T T"
Tm -1.377 1.446 5.625
Tm -1.098 2.022 9.076
Tm -3.370 -4.020 3.731
Tm -0.187 -3.400 5.164
Tm -1.690 -0.971 3.057
Tm -5.932 -1.638 8.305
Tm -4.270 1.428 7.665
Tm -2.768 -1.001 9.771
Tm 1.443 -0.341 4.540
Tm 1.102 -2.724 2.036
Tm 2.755 0.313 1.380
Tm 5.920 0.943 2.825
Tm 0.124 -0.980 7.729
Tm 4.251 -2.105 3.478
La -3.030 -1.595 6.283
Sm 1.784 2.067 7.072
```

Results
**Symmetry**: Amm2
**Energy relative to the elements**: 24 kJ/mol of formula units


no.,energy (eV per atom),volume (Å³ per atom)
1,-9.429,12.03
2,-3.143,26.62
3,-5.780,25.46
4,-4.927,15.10
5,-7.591,15.68
6,-4.500,30.69